# KSn2Au

KSn2Au after structural relaxation (PBE, Alexandria via LeMat-Bulk).

a b c (Å): 5.158 5.158 10.705
angles (deg): 76.06 76.06 90.00
Sites, in units of the cell vectors:
Sn (0.875, 0.996, 0.750)
Sn (0.746, 0.125, 0.250)
Sn (0.375, 0.254, 0.750)
Sn (0.004, 0.625, 0.250)
Au (0.000, 0.000, 0.000)
Au (0.750, 0.250, 0.500)
K (0.250, 0.750, 0.500)
K (0.500, 0.500, 0.000)

Output
- Fermi-level density of states: 4.18 states/eV/cell
- ΔE_f: -0.043 eV per atom
- E: -3.14 eV per atom

=====

# K3Sn3Au8

K3Sn3Au8 after structural relaxation (PBE, Alexandria via LeMat-Bulk).

a b c (Å): 4.872 9.000 9.000
angles (deg): 69.54 74.30 74.30
Sites, in units of the cell vectors:
K (0.209, 0.791, 0.791)
K (0.791, 0.209, 0.209)
K (0.500, 0.500, 0.500)
Au (0.364, 0.923, 0.348)
Au (0.636, 0.652, 0.077)
Au (0.835, 0.528, 0.802)
Au (0.636, 0.077, 0.652)
Au (0.165, 0.472, 0.198)
Au (0.835, 0.802, 0.528)
Au (0.165, 0.198, 0.472)
Au (0.364, 0.348, 0.923)
Sn (0.000, 0.788, 0.212)
Sn (0.000, 0.212, 0.788)
Sn (0.500, 0.000, 0.000)

Output
- Fermi-level density of states: 4.81 states/eV/cell
- Offset from the most stable computed form: 57.0 meV/atom
- ΔE_f: -0.195 eV per atom
- E: -3.16 eV per atom

=====

# K3Sn4Au2

K3Sn4Au2 after structural relaxation (PBE, Alexandria via LeMat-Bulk).

a b c (Å): 4.889 6.507 9.701
angles (deg): 69.92 75.41 67.94
Sites, in units of the cell vectors:
K (0.000, 0.000, 0.000)
K (0.308, 0.759, 0.625)
K (0.692, 0.241, 0.375)
Sn (0.255, 0.393, 0.096)
Sn (0.997, 0.665, 0.342)
Sn (0.003, 0.335, 0.658)
Sn (0.745, 0.607, 0.904)
Au (0.583, 0.094, 0.740)
Au (0.417, 0.906, 0.260)

Output
- Fermi-level density of states: 2.49 states/eV/cell
- Offset from the most stable computed form: 0.0 meV/atom
- ΔE_f: -0.292 eV per atom
- E: -3.17 eV per atom

=====

# K2Sn2Au3

K2Sn2Au3 after structural relaxation (PBE, Alexandria via LeMat-Bulk).

a b c (Å): 4.723 6.675 7.899
angles (deg): 123.84 90.00 110.72
Sites, in units of the cell vectors:
K (0.833, 0.666, 0.209)
K (0.167, 0.334, 0.791)
Sn (0.131, 0.262, 0.266)
Sn (0.869, 0.738, 0.734)
Au (0.500, 0.000, 0.000)
Au (0.411, 0.822, 0.564)
Au (0.589, 0.178, 0.436)

Output
- Fermi-level density of states: 2.89 states/eV/cell
- Offset from the most stable computed form: 78.1 meV/atom
- ΔE_f: -0.261 eV per atom
- E: -3.12 eV per atom

=====

# K3Sn5Au3

K3Sn5Au3 after structural relaxation (PBE, Alexandria via LeMat-Bulk).

a b c (Å): 6.445 8.649 8.649
angles (deg): 120.00 90.00 90.00
Sites, in units of the cell vectors:
Sn (0.500, 0.667, 0.333)
Sn (0.500, 0.000, 0.286)
Sn (0.500, 0.333, 0.667)
Sn (0.500, 0.714, 0.714)
Sn (0.500, 0.286, 0.000)
K (0.000, 0.000, 0.648)
K (0.000, 0.648, 0.000)
K (0.000, 0.352, 0.352)
Au (0.500, 0.351, 0.351)
Au (0.500, 0.649, 0.000)
Au (0.500, 0.000, 0.649)

Output
- Fermi-level density of states: 3.35 states/eV/cell
- ΔE_f: -0.129 eV per atom
- E: -3.14 eV per atom

=====

# KSn3Au3

KSn3Au3 after structural relaxation (PBE, Alexandria via LeMat-Bulk).

a b c (Å): 4.834 9.279 9.082
angles (deg): 117.28 90.00 90.00
Sites, in units of the cell vectors:
Sn (0.250, 0.716, 0.746)
Sn (0.750, 0.753, 0.031)
Sn (0.250, 0.247, 0.969)
Sn (0.250, 0.046, 0.279)
Sn (0.750, 0.954, 0.721)
Sn (0.750, 0.284, 0.254)
Au (0.750, 0.950, 0.390)
Au (0.250, 0.397, 0.452)
Au (0.250, 0.551, 0.941)
Au (0.750, 0.449, 0.059)
Au (0.250, 0.050, 0.610)
Au (0.750, 0.603, 0.548)
K (0.250, 0.674, 0.331)
K (0.750, 0.326, 0.669)

Output
- Fermi-level density of states: 5.22 states/eV/cell
- Offset from the most stable computed form: 114.4 meV/atom
- ΔE_f: -0.172 eV per atom
- E: -3.45 eV per atom